(1)
VASP calculation (PBE-GGA) on a geometry-optimized AcPrHo4 structure.

a = 9.0962 Å, b = 6.7361 Å, c = 8.5960 Å
α = 109.77°, β = 119.30°, γ = 95.81°
Closest atoms and distances in Å follow each position.
Fractional coordinates of all 12 atoms:
Ac (0.4284, 0.6784, 0.3567)  3 Pr 3.52-3.73, 8 Ho 3.65-3.94, 2 Ac 3.88
Ac (0.5716, 0.3216, 0.6433)  3 Pr 3.52-3.73, 8 Ho 3.65-3.94, 2 Ac 3.88
Pr (0.6911, 0.9411, 0.8821)  6 Ho 3.28-3.61, 1 Ac 3.52
Pr (0.3089, 0.0589, 0.1179)  6 Ho 3.28-3.61, 1 Ac 3.52
Ho (0.2331, 0.9921, 0.6507)  7 Ho 3.46-3.77, 2 Pr 3.58-3.75, 1 Ac 3.65
Ho (0.9798, 0.7326, 0.1319)  2 Pr 3.28-3.61, 5 Ho 3.37-3.66
Ho (0.0824, 0.3414, 0.3493)  7 Ho 3.46-3.77, 2 Pr 3.58-3.75, 1 Ac 3.65
Ho (0.3479, 0.6006, 0.8681)  2 Pr 3.28-3.61, 5 Ho 3.37-3.66
Ho (0.7669, 0.0079, 0.3493)  7 Ho 3.46-3.77, 2 Pr 3.58-3.75, 1 Ac 3.65
Ho (0.9176, 0.6586, 0.6507)  7 Ho 3.46-3.77, 2 Pr 3.58-3.75, 1 Ac 3.65
Ho (0.0202, 0.2674, 0.8681)  2 Pr 3.28-3.61, 5 Ho 3.37-3.66
Ho (0.6521, 0.3994, 0.1319)  2 Pr 3.28-3.61, 5 Ho 3.37-3.66

Output
- ΔE_f: 0.06 eV per atom
- Distance to the lowest polymorph of the same formula: 0.0000 eV/atom
- Energy: -0.16427 hartree per atom
- Total magnetization: 0.00 μB per formula unit

***

(2)
VASP calculation (PBE-GGA) on a geometry-optimized MgPb2W structure.

a = 5.8783 Å, b = 5.8783 Å, c = 3.1561 Å
α = 75.38°, β = 75.38°, γ = 111.68°
Closest atoms and distances in Å follow each position.
Fractional coordinates of all 4 atoms:
Mg (0.0000, 0.5000, 0.5000)  4 Pb 2.96, 2 Mg 3.16, 2 W 3.30
Pb (0.0000, 0.0000, 0.0000)  2 Mg 2.96, 2 W 2.96, 4 Pb 3.16-3.30
Pb (0.5000, 0.5000, 0.0000)  2 W 2.96, 2 Mg 2.96, 4 Pb 3.16-3.30
W (0.5000, 0.0000, 0.5000)  4 Pb 2.96, 2 W 3.16, 2 Mg 3.30

Output
- ΔE_f: 0.79 eV per atom
- Energy: -0.17266 hartree per atom
- Total magnetization: 0.00 μB per formula unit

***

(3)
VASP calculation (PBE-GGA) on a geometry-optimized TaIn2CuBr structure.

a = 5.0982 Å, b = 4.8518 Å, c = 5.0982 Å
α = 90.00°, β = 90.00°, γ = 90.00°
Closest atoms and distances in Å follow each position.
Fractional coordinates of all 5 atoms:
In (0.0000, 0.0000, 0.5000)  2 Cu 2.55
In (0.5000, 0.0000, 0.0000)  2 Cu 2.55
Cu (0.0000, 0.0000, 0.0000)  2 Br 2.43, 4 In 2.55
Br (0.0000, 0.5000, 0.0000)  2 Cu 2.43
Ta (0.5000, 0.5000, 0.5000)  8 In 3.52, 4 Br 3.60

Output
- Formation energy from raw total energies: 103.22 kJ/mol of atoms
- Energy: -0.13046 hartree per atom
- Total magnetization: 2.60 μB per formula unit

***

(4)
VASP calculation (PBE-GGA) on a geometry-optimized MnTc2Te structure.

a = 3.2859 Å, b = 4.3355 Å, c = 4.4581 Å
α = 90.00°, β = 90.00°, γ = 90.00°
Closest atoms and distances in Å follow each position.
Fractional coordinates of all 4 atoms:
Mn (0.0000, 0.5000, 0.5000)  4 Te 2.72, 4 Tc 2.77
Tc (0.0000, 0.0000, 0.0000)  4 Tc 2.72, 4 Te 2.77
Tc (0.5000, 0.5000, 0.0000)  4 Tc 2.72, 4 Mn 2.77
Te (0.5000, 0.0000, 0.5000)  4 Mn 2.72, 4 Tc 2.77

Output
- Formation energy from raw total energies: 45.23 kJ/mol of atoms
- Energy: -0.28635 hartree per atom
- Total magnetization: 2.72 μB per formula unit